No. 1
# PrPu2PaSe4, relaxed, DFT PBE-GGA
data_PrPu2PaSe4
_symmetry_space_group_name_H-M 'P 1 2/m 1'
_symmetry_Int_Tables_number 10
_cell_length_a 7.1154
_cell_length_b 4.1179
_cell_length_c 7.2952
_cell_angle_alpha 90.00
_cell_angle_beta 109.22
_cell_angle_gamma 90.00
loop_
_symmetry_equiv_pos_as_xyz
'x,y,z'
'-x,-y,-z'
'-x,y,-z'
'x,-y,z'
loop_
_atom_site_label
_atom_site_type_symbol
_atom_site_fract_x
_atom_site_fract_y
_atom_site_fract_z
_atom_site_occupancy
Pr1 Pr 0.0000 0.0000 0.0000 1
Pu1 Pu 0.5000 0.0000 0.5000 1
Pu2 Pu 0.5000 0.5000 0.0000 1
Pa1 Pa 0.0000 0.5000 0.5000 1
Se1 Se 0.2527 0.0000 0.7465 1
Se2 Se 0.2553 0.5000 0.2584 1
# Raw formation energy = -1.5135 eV per atom
# Theoretical density = 9.67 g cm⁻³
# Magnetic moment = 0.095 μB per atom
# Total DFT energy (no corrections) = -68.99 eV for the cell shown

No. 2
# PrPuPaSn, relaxed, DFT PBE-GGA
data_PrPuPaSn
_symmetry_space_group_name_H-M 'F -4 3 m'
_symmetry_Int_Tables_number 216
_symmetry_space_group_name_Hall 'F -4 2 3'
_cell_length_a 7.5464
_cell_length_b 7.5464
_cell_length_c 7.5464
_cell_angle_alpha 90.00
_cell_angle_beta 90.00
_cell_angle_gamma 90.00
loop_
_atom_site_label
_atom_site_type_symbol
_atom_site_fract_x
_atom_site_fract_y
_atom_site_fract_z
_atom_site_occupancy
Pr1 Pr 0.0000 0.0000 0.0000 1
Pu1 Pu 0.0000 0.0000 0.5000 1
Pa1 Pa 0.2500 0.2500 0.7500 1
Sn1 Sn 0.2500 0.2500 0.2500 1
# Theoretical density = 11.35 g cm⁻³
# DFT formation energy = 0.00 eV per atom
# Magnetic moment = 1.756 μB per atom
# Total DFT energy (no corrections) = -130.40 eV for the cell shown

No. 3
# PrPu2PaTe5, relaxed, DFT PBE-GGA
data_PrPu2PaTe5
_symmetry_space_group_name_H-M 'P 4/m m m'
_symmetry_Int_Tables_number 123
_symmetry_space_group_name_Hall '-P 4 2'
_cell_length_a 5.6215
_cell_length_b 5.6215
_cell_length_c 11.8332
_cell_angle_alpha 90.00
_cell_angle_beta 90.00
_cell_angle_gamma 90.00
loop_
_atom_site_label
_atom_site_type_symbol
_atom_site_fract_x
_atom_site_fract_y
_atom_site_fract_z
_atom_site_occupancy
Pr1 Pr 0.0000 0.0000 0.0000 1
Pu1 Pu 0.5000 0.5000 0.3399 1
Pa1 Pa 0.0000 0.0000 0.5000 1
Te1 Te 0.0000 0.0000 0.2506 1
Te2 Te 0.0000 0.5000 0.5000 1
Te3 Te 0.5000 0.5000 0.0000 1
# Raw formation energy = -0.5147 eV per atom
# Theoretical density = 6.65 g cm⁻³
# Magnetic moment = 1.501 μB per atom
# Total DFT energy (no corrections) = -63.28 eV for the cell shown

No. 4
# Rb3Pr2PaS6, relaxed, DFT PBE-GGA
data_Rb3Pr2PaS6
_symmetry_space_group_name_H-M 'C 1 2/m 1'
_symmetry_Int_Tables_number 12
_cell_length_a 7.2502
_cell_length_b 12.5547
_cell_length_c 8.1082
_cell_angle_alpha 90.00
_cell_angle_beta 107.36
_cell_angle_gamma 90.00
loop_
_symmetry_equiv_pos_as_xyz
'x,y,z'
'-x,-y,-z'
'-x,y,-z'
'x,-y,z'
'x+1/2,y+1/2,z'
'-x+1/2,-y+1/2,-z'
'-x+1/2,y+1/2,-z'
'x+1/2,-y+1/2,z'
loop_
_atom_site_label
_atom_site_type_symbol
_atom_site_fract_x
_atom_site_fract_y
_atom_site_fract_z
_atom_site_occupancy
Rb1 Rb 0.0000 0.0000 0.0000 1
Rb2 Rb 0.0000 0.3303 0.0000 1
Pr1 Pr 0.0000 0.1664 0.5000 1
Pa1 Pa 0.0000 0.5000 0.5000 1
S1 S 0.2253 0.3407 0.6981 1
S2 S 0.2481 0.0000 0.6987 1
# Raw formation energy = -1.6832 eV per atom
# Theoretical density = 4.53 g cm⁻³
# Magnetic moment = 0.139 μB per atom
# Total DFT energy (no corrections) = -133.84 eV for the cell shown

No. 5
# RbPr2PaS5, relaxed, DFT PBE-GGA
data_RbPr2PaS5
_symmetry_space_group_name_H-M 'I m m m'
_symmetry_Int_Tables_number 71
_symmetry_space_group_name_Hall '-I 2 2'
_cell_length_a 5.0908
_cell_length_b 7.3268
_cell_length_c 13.9068
_cell_angle_alpha 90.00
_cell_angle_beta 90.00
_cell_angle_gamma 90.00
loop_
_atom_site_label
_atom_site_type_symbol
_atom_site_fract_x
_atom_site_fract_y
_atom_site_fract_z
_atom_site_occupancy
Rb1 Rb 0.0000 0.0000 0.0000 1
Pr1 Pr 0.0000 0.5000 0.2043 1
Pa1 Pa 0.0000 0.0000 0.5000 1
S1 S 0.0000 0.2354 0.3513 1
S2 S 0.0000 0.5000 0.0000 1
# Raw formation energy = -1.7273 eV per atom
# Theoretical density = 4.86 g cm⁻³
# Magnetic moment = 0.010 μB per atom
# Total DFT energy (no corrections) = -112.41 eV for the cell shown

No. 6
# RbPrPaS4, relaxed, DFT PBE-GGA
data_RbPrPaS4
_symmetry_space_group_name_H-M 'I m m a'
_symmetry_Int_Tables_number 74
_symmetry_space_group_name_Hall '-I 2b 2'
_cell_length_a 8.4336
_cell_length_b 8.7883
_cell_length_c 12.2621
_cell_angle_alpha 90.00
_cell_angle_beta 90.00
_cell_angle_gamma 90.00
loop_
_atom_site_label
_atom_site_type_symbol
_atom_site_fract_x
_atom_site_fract_y
_atom_site_fract_z
_atom_site_occupancy
Rb1 Rb 0.0000 0.2500 0.1307 1
Pr1 Pr 0.0000 0.0000 0.5000 1
Pa1 Pa 0.2500 0.2500 0.7500 1
S1 S 0.0000 0.0493 0.7344 1
S2 S 0.2188 0.2500 0.5298 1
# Raw formation energy = -1.6731 eV per atom
# Theoretical density = 4.28 g cm⁻³
# Magnetic moment = 0.147 μB per atom
# Total DFT energy (no corrections) = -173.86 eV for the cell shown

No. 7
# Rb2PrPaS4, relaxed, DFT PBE-GGA
data_Rb2PrPaS4
_symmetry_space_group_name_H-M 'P 1 2/m 1'
_symmetry_Int_Tables_number 10
_cell_length_a 7.2109
_cell_length_b 4.1382
_cell_length_c 8.1201
_cell_angle_alpha 90.00
_cell_angle_beta 106.99
_cell_angle_gamma 90.00
loop_
_symmetry_equiv_pos_as_xyz
'x,y,z'
'-x,-y,-z'
'-x,y,-z'
'x,-y,z'
loop_
_atom_site_label
_atom_site_type_symbol
_atom_site_fract_x
_atom_site_fract_y
_atom_site_fract_z
_atom_site_occupancy
Rb1 Rb 0.0000 0.0000 0.0000 1
Rb2 Rb 0.5000 0.5000 0.0000 1
Pr1 Pr 0.0000 0.5000 0.5000 1
Pa1 Pa 0.5000 0.0000 0.5000 1
S1 S 0.2467 0.0000 0.7000 1
S2 S 0.2790 0.5000 0.3039 1
# Raw formation energy = -1.6153 eV per atom
# Theoretical density = 4.81 g cm⁻³
# Magnetic moment = 0.236 μB per atom
# Total DFT energy (no corrections) = -45.64 eV for the cell shown

No. 8
# Rb3Pr3PaS8, relaxed, DFT PBE-GGA
data_Rb3Pr3PaS8
_symmetry_space_group_name_H-M 'R -3 m'
_symmetry_Int_Tables_number 166
_symmetry_space_group_name_Hall '-R 3 2"'
_cell_length_a 8.4129
_cell_length_b 8.4129
_cell_length_c 23.4900
_cell_angle_alpha 90.00
_cell_angle_beta 90.00
_cell_angle_gamma 120.00
loop_
_atom_site_label
_atom_site_type_symbol
_atom_site_fract_x
_atom_site_fract_y
_atom_site_fract_z
_atom_site_occupancy
Rb1 Rb 0.0000 0.5000 0.0000 1
Pr1 Pr 0.0000 0.5000 0.5000 1
Pa1 Pa 0.0000 0.0000 0.5000 1
S1 S 0.0000 0.0000 0.2327 1
S2 S 0.0156 0.5078 0.2295 1
# Raw formation energy = -1.7848 eV per atom
# Theoretical density = 4.04 g cm⁻³
# Magnetic moment = 0.069 μB per atom
# Total DFT energy (no corrections) = -259.58 eV for the cell shown

No. 9
# Rb3Pr3PaSe8, relaxed, DFT PBE-GGA
data_Rb3Pr3PaSe8
_symmetry_space_group_name_H-M 'R -3 m'
_symmetry_Int_Tables_number 166
_symmetry_space_group_name_Hall '-R 3 2"'
_cell_length_a 8.7128
_cell_length_b 8.7128
_cell_length_c 24.4710
_cell_angle_alpha 90.00
_cell_angle_beta 90.00
_cell_angle_gamma 120.00
loop_
_atom_site_label
_atom_site_type_symbol
_atom_site_fract_x
_atom_site_fract_y
_atom_site_fract_z
_atom_site_occupancy
Rb1 Rb 0.0000 0.5000 0.0000 1
Pr1 Pr 0.0000 0.5000 0.5000 1
Pa1 Pa 0.0000 0.0000 0.5000 1
Se1 Se 0.0000 0.0000 0.2339 1
Se2 Se 0.0125 0.5063 0.2312 1
# Raw formation energy = -1.6672 eV per atom
# Theoretical density = 4.78 g cm⁻³
# Magnetic moment = 0.069 μB per atom
# Total DFT energy (no corrections) = -238.87 eV for the cell shown

No. 10
# Rb2PrPaSe4, relaxed, DFT PBE-GGA
data_Rb2PrPaSe4
_symmetry_space_group_name_H-M 'P 1 2/m 1'
_symmetry_Int_Tables_number 10
_cell_length_a 7.4808
_cell_length_b 4.2959
_cell_length_c 8.4569
_cell_angle_alpha 90.00
_cell_angle_beta 106.94
_cell_angle_gamma 90.00
loop_
_symmetry_equiv_pos_as_xyz
'x,y,z'
'-x,-y,-z'
'-x,y,-z'
'x,-y,z'
loop_
_atom_site_label
_atom_site_type_symbol
_atom_site_fract_x
_atom_site_fract_y
_atom_site_fract_z
_atom_site_occupancy
Rb1 Rb 0.0000 0.0000 0.0000 1
Rb2 Rb 0.5000 0.5000 0.0000 1
Pr1 Pr 0.0000 0.5000 0.5000 1
Pa1 Pa 0.5000 0.0000 0.5000 1
Se1 Se 0.2454 0.0000 0.7037 1
Se2 Se 0.2756 0.5000 0.2992 1
# Raw formation energy = -1.4964 eV per atom
# Theoretical density = 5.48 g cm⁻³
# Magnetic moment = 0.241 μB per atom
# Total DFT energy (no corrections) = -42.12 eV for the cell shown

No. 11
# Rb2Pr2PaSe6, relaxed, DFT PBE-GGA
data_Rb2Pr2PaSe6
_symmetry_space_group_name_H-M 'C 1 2/m 1'
_symmetry_Int_Tables_number 12
_cell_length_a 7.5085
_cell_length_b 12.9071
_cell_length_c 8.5821
_cell_angle_alpha 90.00
_cell_angle_beta 107.28
_cell_angle_gamma 90.00
loop_
_symmetry_equiv_pos_as_xyz
'x,y,z'
'-x,-y,-z'
'-x,y,-z'
'x,-y,z'
'x+1/2,y+1/2,z'
'-x+1/2,-y+1/2,-z'
'-x+1/2,y+1/2,-z'
'x+1/2,-y+1/2,z'
loop_
_atom_site_label
_atom_site_type_symbol
_atom_site_fract_x
_atom_site_fract_y
_atom_site_fract_z
_atom_site_occupancy
Rb1 Rb 0.0000 0.1698 0.0000 1
Pr1 Pr 0.0000 0.3337 0.5000 1
Pa1 Pa 0.0000 0.0000 0.5000 1
Se1 Se 0.2261 0.1604 0.6954 1
Se2 Se 0.2487 0.5000 0.6948 1
# Raw formation energy = -1.6441 eV per atom
# Theoretical density = 4.84 g cm⁻³
# Magnetic moment = 0.099 μB per atom
# Total DFT energy (no corrections) = -119.96 eV for the cell shown

No. 12
# Rb2Pr2PaTe6, relaxed, DFT PBE-GGA
data_Rb2Pr2PaTe6
_symmetry_space_group_name_H-M 'C 1 2/m 1'
_symmetry_Int_Tables_number 12
_cell_length_a 7.9351
_cell_length_b 13.6676
_cell_length_c 9.1887
_cell_angle_alpha 90.00
_cell_angle_beta 107.16
_cell_angle_gamma 90.00
loop_
_symmetry_equiv_pos_as_xyz
'x,y,z'
'-x,-y,-z'
'-x,y,-z'
'x,-y,z'
'x+1/2,y+1/2,z'
'-x+1/2,-y+1/2,-z'
'-x+1/2,y+1/2,-z'
'x+1/2,-y+1/2,z'
loop_
_atom_site_label
_atom_site_type_symbol
_atom_site_fract_x
_atom_site_fract_y
_atom_site_fract_z
_atom_site_occupancy
Rb1 Rb 0.0000 0.1699 0.0000 1
Pr1 Pr 0.0000 0.3329 0.5000 1
Pa1 Pa 0.0000 0.0000 0.5000 1
Te1 Te 0.2310 0.1603 0.7022 1
Te2 Te 0.2468 0.5000 0.7007 1
# Raw formation energy = -1.2513 eV per atom
# Theoretical density = 5.06 g cm⁻³
# Magnetic moment = 0.097 μB per atom
# Total DFT energy (no corrections) = -107.21 eV for the cell shown